A plane-wave DFT calculation with PBE was carried out for a geometry-optimized KRu2 structure.

Properties
For the calculated formation energy, the calculation gives 1.431 eV/atom. The value obtained for the total energy is -30.71 eV for the cell shown.

Cell: 2.705 8.034 5.564 Å, 90.00 90.00 90.00°
Element x y z (fractional)
1 K 0.000 0.000 0.000
2 K 0.500 0.500 0.500
3 Ru 0.240 0.370 0.000
4 Ru 0.260 0.870 0.500
5 Ru 0.740 0.130 0.500
6 Ru 0.760 0.630 0.000

A plane-wave DFT calculation with PBE was carried out for a geometry-optimized ZnAs2Rh structure.

Properties
For the calculated formation energy, the calculation gives -0.125 eV/atom. The value obtained for the total energy is -18.42 eV for the cell shown.

Cell: 4.915 4.915 5.721 Å, 109.30 109.30 34.44°
Element x y z (fractional)
1 Zn 0.000 0.000 0.000
2 As 0.664 0.664 0.644
3 As 0.859 0.859 0.410
4 Rh 0.275 0.275 0.027

A plane-wave DFT calculation with PBE was carried out for a geometry-optimized VTcHIr2 structure.

Properties
The calculation puts the energy above the lowest structure with this stoichiometry at 2219 meV per atom. The value obtained for the total energy is -30.46 eV for the cell shown.

Cell: 4.713 4.713 4.516 Å, 90.00 90.00 90.00°
Element x y z (fractional)
1 V 0.000 0.000 0.000
2 Tc 0.000 0.000 0.500
3 H 0.500 0.500 0.000
4 Ir 0.000 0.500 0.500
5 Ir 0.500 0.000 0.500

A plane-wave DFT calculation with PBE was carried out for a geometry-optimized Zr3ScTl2 structure.

Properties
For the calculated formation energy, the calculation gives 0.363 eV/atom. The calculation puts the energy above the lowest structure with this stoichiometry at 423 meV per atom. The value obtained for the total energy is -34.53 eV for the cell shown.

Cell: 9.198 9.198 9.198 Å, 160.50 145.72 39.74°
Element x y z (fractional)
1 Zr 0.000 0.000 0.000
2 Zr 0.325 0.825 0.500
3 Zr 0.675 0.175 0.500
4 Sc 0.500 0.000 0.500
5 Tl 0.155 0.655 0.500
6 Tl 0.845 0.345 0.500

A plane-wave DFT calculation with PBE was carried out for a geometry-optimized NaPm3Ho2S6 structure.

Properties
Its formation energy (no corrections) is -1949.3 meV/atom. The value obtained for the total energy is -72.88 eV for the cell shown.

Cell: 6.868 6.868 6.934 Å, 99.52 99.52 120.10°
Element x y z (fractional)
1 Na 0.000 0.000 0.000
2 Pm 0.162 0.838 0.500
3 Pm 0.500 0.500 0.500
4 Pm 0.838 0.162 0.500
5 Ho 0.334 0.666 0.000
6 Ho 0.666 0.334 0.000
7 S 0.080 0.418 0.241
8 S 0.257 0.257 0.766
9 S 0.418 0.080 0.241
10 S 0.582 0.920 0.759
11 S 0.743 0.743 0.234
12 S 0.920 0.582 0.759

A plane-wave DFT calculation with PBE was carried out for a geometry-optimized Zr2MnFe structure.

Properties
For the calculated formation energy, the calculation gives 0.016 eV/atom. The calculation puts the energy above the lowest structure with this stoichiometry at 125 meV per atom. The value obtained for the total energy is -34.67 eV for the cell shown.

Cell: 5.668 5.668 5.668 Å, 148.07 134.72 56.47°
Element x y z (fractional)
1 Zr 0.000 0.000 0.000
2 Zr 0.723 0.223 0.500
3 Mn 0.446 0.446 0.000
4 Fe 0.263 0.763 0.500

A plane-wave DFT calculation with PBE was carried out for a geometry-optimized Tm3TlPd structure.

Properties
For the calculated formation energy, the calculation gives -0.395 eV/atom. The value obtained for the total energy is -45.90 eV for the cell shown.

Cell: 7.658 7.658 5.338 Å, 90.00 90.00 120.00°
Element x y z (fractional)
1 Tm 0.185 0.370 0.250
2 Tm 0.185 0.815 0.250
3 Tm 0.370 0.185 0.750
4 Tm 0.630 0.815 0.250
5 Tm 0.815 0.185 0.750
6 Tm 0.815 0.630 0.750
7 Tl 0.333 0.667 0.750
8 Tl 0.667 0.333 0.250
9 Pd 0.000 0.000 0.000
10 Pd 0.000 0.000 0.500

A plane-wave DFT calculation with PBE was carried out for a geometry-optimized NdTmGe structure.

Properties
For the calculated formation energy, the calculation gives -0.375 eV/atom. The value obtained for the total energy is -29.96 eV for the cell shown.

Cell: 4.297 4.297 11.358 Å, 90.00 90.00 120.00°
Element x y z (fractional)
1 Nd 0.000 0.000 0.229
2 Nd 0.000 0.000 0.771
3 Tm 0.333 0.667 0.000
4 Tm 0.667 0.333 0.500
5 Ge 0.333 0.667 0.363
6 Ge 0.333 0.667 0.637

A plane-wave DFT calculation with PBE was carried out for a geometry-optimized Cr2ReHg structure.

Properties
For the calculated formation energy, the calculation gives 0.532 eV/atom. The value obtained for the total energy is -29.87 eV for the cell shown.

Cell: 8.887 8.887 8.887 Å, 18.30 18.30 18.30°
Element x y z (fractional)
1 Cr 0.000 0.000 0.000
2 Cr 0.270 0.270 0.270
3 Re 0.745 0.745 0.745
4 Hg 0.510 0.510 0.510

A plane-wave DFT calculation with PBE was carried out for a geometry-optimized RbDyZnF6 structure.

Properties
Its formation energy (no corrections) is -3215.1 meV/atom. The value obtained for the total energy is -94.02 eV for the cell shown.

Cell: 7.894 7.894 7.894 Å, 121.90 117.65 90.43°
Element x y z (fractional)
1 Rb 0.296 0.046 0.250
2 Rb 0.704 0.954 0.750
3 Dy 0.000 0.500 0.500
4 Dy 0.500 0.500 0.000
5 Zn 0.000 0.000 0.500
6 Zn 0.000 0.500 0.000
7 F 0.045 0.795 0.250
8 F 0.046 0.401 0.214
9 F 0.046 0.832 0.645
10 F 0.312 0.168 0.714
11 F 0.312 0.599 0.145
12 F 0.327 0.577 0.750
13 F 0.673 0.423 0.250
14 F 0.688 0.401 0.855
15 F 0.688 0.832 0.286
16 F 0.954 0.168 0.355
17 F 0.954 0.599 0.786
18 F 0.955 0.205 0.750

A plane-wave DFT calculation with PBE was carried out for a geometry-optimized ScMnSe structure.

Properties
Its formation energy (no corrections) is -443.9 meV/atom. The calculation puts the energy above the lowest structure with this stoichiometry at 77 meV per atom. The value obtained for the total energy is -20.32 eV for the cell shown.

Cell: 3.649 3.649 5.443 Å, 90.00 90.00 120.00°
Element x y z (fractional)
1 Sc 0.000 0.000 0.000
2 Mn 0.333 0.667 0.597
3 Se 0.667 0.333 0.309

A plane-wave DFT calculation with PBE was carried out for a geometry-optimized NbHgGeO2 structure.

Properties
Its formation energy (no corrections) is -1133.8 meV/atom. The value obtained for the total energy is -30.57 eV for the cell shown.

Cell: 3.953 3.953 5.729 Å, 90.00 90.00 90.00°
Element x y z (fractional)
1 Nb 0.000 0.000 0.000
2 Hg 0.500 0.500 0.500
3 Ge 0.000 0.000 0.500
4 O 0.000 0.500 0.000
5 O 0.500 0.000 0.000